(1)
Below is an optimized crystal structure of Na2Hg6Bi, with properties calculated at the PBE-GGA level.

extended XYZ file:
```
9
Lattice="8.920 0.000 0.000 -4.460 7.725 0.000 0.000 0.000 3.446" Properties=species:S:1:pos:R:3 pbc="T T T"
Na 0.000 5.150 0.000
Na 4.460 2.575 0.000
Hg -1.492 2.584 1.723
Hg -2.968 5.141 1.723
Hg 2.983 0.000 1.723
Hg 1.492 2.584 1.723
Hg 5.936 0.000 1.723
Hg 2.968 5.141 1.723
Bi 0.000 0.000 0.000
```

Values from the calculation:
formation energy: -132.1 meV per atom
D(E_F): 0.43 states/eV per atom
E: -9.52 eV for the cell shown
ΔE to the lowest computed polymorph: 0.0 kJ/mol of atoms
symmetry: P6/mmm (191)

=====

(2)
Below is an optimized crystal structure of NaHg6Bi2, with properties calculated at the PBE-GGA level.

extended XYZ file:
```
18
Lattice="5.881 0.000 0.000 0.000 8.973 0.000 -4.238 0.000 9.448" Properties=species:S:1:pos:R:3 pbc="T T T"
Na 0.000 0.000 0.000
Na -2.119 4.486 4.724
Hg -2.100 1.460 5.352
Hg 0.019 3.026 0.628
Hg -1.573 1.598 8.523
Hg 0.546 2.889 3.799
Hg -1.274 4.538 7.868
Hg 0.845 8.922 3.144
Hg 0.798 0.051 6.304
Hg 2.917 4.435 1.580
Hg 1.097 6.084 5.649
Hg 3.216 7.375 0.925
Hg 1.624 5.947 8.821
Hg 3.743 7.513 4.096
Bi 0.244 5.899 2.582
Bi -1.875 7.560 7.306
Bi 3.518 1.412 2.142
Bi 1.399 3.074 6.866
```

Values from the calculation:
formation energy: -17.3 meV per atom
D(E_F): 0.31 states/eV per atom
E: -22.09 eV for the cell shown
symmetry: P2_1/c (14)

=====

no.,ρ (g/cm3)
1,10.20
2,10.95